(1)
Compound: PrGa2
Source: OQMD via LeMat-Bulk
Functional: GGA-PBE
Structure: relaxed

Cell lengths 9.8854, 9.8854, 9.8854 Å; angles 60.00, 60.00, 60.00 degrees
With the nearest neighbours (Å) after each atom.
Fractional coordinates of all 6 atoms:
Ga1 0.8750 0.3750 0.3750  2 Pr 3.03
Ga2 0.3750 0.3750 0.3750  2 Pr 3.03
Pr1 0.5000 0.5000 0.5000  4 Ga 3.03
Ga3 0.3750 0.3750 0.8750  2 Pr 3.03
Ga4 0.3750 0.8750 0.3750  2 Pr 3.03
Pr2 0.2500 0.2500 0.2500  4 Ga 3.03

Values from the calculation:
E_tot: -6.93 eV per formula unit
SG: Fd-3m
ρ: 1.363 g cm⁻³

=====

(2)
Compound: RbTmBeS3
Source: OQMD via LeMat-Bulk
Functional: GGA-PBE
Structure: relaxed

Cell lengths 7.6540, 7.6540, 10.3133 Å; angles 90.00, 90.00, 150.99 degrees
With the nearest neighbours (Å) after each atom.
Fractional coordinates of all 12 atoms:
Rb1 0.7584 0.2416 0.7500  6 S 3.38-3.43
Tm1 0.5000 0.5000 0.5000  6 S 2.68
S1 0.1136 0.8864 0.5789  1 Be 2.09
Tm2 0.5000 0.5000 0.0000  6 S 2.68
S2 0.8864 0.1136 0.4211  1 Be 2.09
S3 0.8864 0.1136 0.0789  1 Be 2.09
S4 0.4501 0.5499 0.7500  2 Be 2.32
S5 0.1136 0.8864 0.9211  1 Be 2.09
Rb2 0.2416 0.7584 0.2500  6 S 3.38-3.43
S6 0.5499 0.4501 0.2500  2 Be 2.32
Be1 0.0384 0.9616 0.7500  4 S 2.09-2.32
Be2 0.9616 0.0384 0.2500  4 S 2.09-2.32

Values from the calculation:
E_tot: -31.02 eV per formula unit
SG: Cmcm
ρ: 4.076 g cm⁻³

=====

(3)
Compound: NaSn2Hg2
Source: OQMD via LeMat-Bulk
Functional: GGA-PBE
Structure: relaxed

Cell lengths 4.5990, 4.5990, 7.5481 Å; angles 107.74, 107.74, 90.00 degrees
With the nearest neighbours (Å) after each atom.
Fractional coordinates of all 5 atoms:
Na1 0.0000 0.0000 0.0000  8 Hg 3.53
Sn1 0.2500 0.7500 0.5000  4 Hg 3.06, 4 Sn 3.25
Sn2 0.7500 0.2500 0.5000  4 Hg 3.06, 4 Sn 3.25
Hg1 0.3984 0.3984 0.7968  1 Hg 2.77, 4 Sn 3.06
Hg2 0.6016 0.6016 0.2032  1 Hg 2.77, 4 Sn 3.06

Values from the calculation:
E_tot: -10.29 eV per formula unit
SG: I4/mmm
ρ: 7.625 g cm⁻³

=====

(4)
Compound: YTmCo2B2N2
Source: OQMD via LeMat-Bulk
Functional: GGA-PBE
Structure: relaxed

Cell lengths 3.4589, 3.4589, 7.4243 Å; angles 90.00, 90.00, 90.00 degrees
With the nearest neighbours (Å) after each atom.
Fractional coordinates of all 8 atoms:
Y1 0.5000 0.5000 0.1676  5 N 2.34-2.45
N1 0.5000 0.5000 0.8528  1 B 1.50
B1 0.5000 0.5000 0.6501  1 N 1.50
Co1 0.5000 0.0000 0.5008  4 B 2.05-2.06
N2 0.0000 0.0000 0.1453  1 B 1.52
Co2 0.0000 0.5000 0.5008  4 B 2.05-2.06
B2 0.0000 0.0000 0.3495  1 N 1.52
Tm1 0.0000 0.0000 0.8332  5 N 2.32-2.45

Values from the calculation:
E_tot: -64.01 eV per formula unit
SG: P4mm
ρ: 7.952 g cm⁻³

=====

(5)
Compound: SmDy2Si4Ni2Au2
Source: OQMD via LeMat-Bulk
Functional: GGA-PBE
Structure: relaxed

Cell lengths 12.4838, 12.4838, 12.4838 Å; angles 161.53, 160.84, 26.74 degrees
With the nearest neighbours (Å) after each atom.
Fractional coordinates of all 11 atoms:
Si1 0.5486 0.5486 0.0000  1 Si 2.36, 2 Au 2.44
Si2 0.4514 0.4514 0.0000  1 Si 2.36, 2 Au 2.44
Sm1 0.0000 0.0000 0.0000  8 Si 3.12, 4 Au 3.18
Ni1 0.2505 0.2505 0.0000  4 Si 2.31-2.36
Au1 0.8985 0.3985 0.5000  3 Si 2.44-2.47
Ni2 0.7495 0.7495 0.0000  4 Si 2.31-2.36
Si3 0.2034 0.7034 0.5000  4 Ni 2.31-2.36, 1 Au 2.47
Si4 0.7966 0.2966 0.5000  4 Ni 2.31-2.36, 1 Au 2.47
Dy1 0.3439 0.8439 0.5000  4 Ni 3.03-3.10, 6 Si 3.11-3.29, 4 Au 3.18
Dy2 0.6561 0.1561 0.5000  4 Ni 3.03-3.10, 6 Si 3.11-3.29, 4 Au 3.18
Au2 0.1015 0.6015 0.5000  3 Si 2.44-2.47

Values from the calculation:
E_tot: -62.28 eV per formula unit
SG: Immm
ρ: 9.025 g cm⁻³

=====

Question: ρ of number 3 (NaSn2Hg2)?
Answer: 7.625 g cm⁻³

=====

Copy entry 4 word for word.
Compound: YTmCo2B2N2
Source: OQMD via LeMat-Bulk
Functional: GGA-PBE
Structure: relaxed

Cell lengths 3.4589, 3.4589, 7.4243 Å; angles 90.00, 90.00, 90.00 degrees
With the nearest neighbours (Å) after each atom.
Fractional coordinates of all 8 atoms:
Y1 0.5000 0.5000 0.1676  5 N 2.34-2.45
N1 0.5000 0.5000 0.8528  1 B 1.50
B1 0.5000 0.5000 0.6501  1 N 1.50
Co1 0.5000 0.0000 0.5008  4 B 2.05-2.06
N2 0.0000 0.0000 0.1453  1 B 1.52
Co2 0.0000 0.5000 0.5008  4 B 2.05-2.06
B2 0.0000 0.0000 0.3495  1 N 1.52
Tm1 0.0000 0.0000 0.8332  5 N 2.32-2.45

Values from the calculation:
E_tot: -64.01 eV per formula unit
SG: P4mm
ρ: 7.952 g cm⁻³

=====

Question: The lowest E_tot belongs to which entry?
Answer: YTmCo2B2N2